# GGA-PBE Sc4Ni2Ir, relaxed
# M_tot (μB/f.u.): 0.000
# V (Å³/cell): 310
# ΔH_f (0 K) (meV per atom): -107
# ΔE to the lowest computed polymorph (eV/f.u.): 3.34
# DOS at the Fermi energy (states/eV/cell): 10.77
data_Sc4Ni2Ir
_cell_length_a 5.005
_cell_length_b 5.005
_cell_length_c 12.374
_cell_angle_alpha 90.00
_cell_angle_beta 90.00
_cell_angle_gamma 90.00
_symmetry_space_group_name_H-M 'I 4/m m m'
_symmetry_Int_Tables_number 139
_symmetry_space_group_name_Hall '-I 4 2'
loop_
_atom_site_label
_atom_site_fract_x
_atom_site_fract_y
_atom_site_fract_z
_atom_site_occupancy
Sc1 0.000 0.000 0.208 1
Sc2 0.000 0.500 0.000 1
Ni1 0.000 0.000 0.402 1
Ir1 0.000 0.000 0.000 1

# GGA-PBE Ti6ReRh5, relaxed
# M_tot (μB/f.u.): 0.000
# V (Å³/cell): 360
# ΔH_f (0 K) (meV per atom): -718
# DOS at the Fermi energy (states/eV/cell): 24.80
data_Ti6ReRh5
_cell_length_a 4.356
_cell_length_b 13.053
_cell_length_c 6.337
_cell_angle_alpha 90.00
_cell_angle_beta 90.00
_cell_angle_gamma 90.00
_symmetry_space_group_name_H-M 'C m m m'
_symmetry_Int_Tables_number 65
_symmetry_space_group_name_Hall '-C 2 2'
loop_
_atom_site_label
_atom_site_fract_x
_atom_site_fract_y
_atom_site_fract_z
_atom_site_occupancy
Ti1 0.000 0.000 0.246 1
Ti2 0.000 0.335 0.249 1
Re1 0.000 0.500 0.000 1
Rh1 0.000 0.166 0.500 1
Rh2 0.000 0.170 0.000 1
Rh3 0.000 0.500 0.500 1

# GGA-PBE NaGa4Ge2, relaxed
# M_tot (μB/f.u.): 0.000
# V (Å³/cell): 297
# ΔH_f (0 K) (meV per atom): -18
# DOS at the Fermi energy (states/eV/cell): 4.75
data_NaGa4Ge2
_cell_length_a 4.834
_cell_length_b 14.414
_cell_length_c 4.270
_cell_angle_alpha 90.00
_cell_angle_beta 90.00
_cell_angle_gamma 90.00
_symmetry_space_group_name_H-M 'C m m m'
_symmetry_Int_Tables_number 65
_symmetry_space_group_name_Hall '-C 2 2'
loop_
_atom_site_label
_atom_site_fract_x
_atom_site_fract_y
_atom_site_fract_z
_atom_site_occupancy
Na1 0.000 0.000 0.000 1
Ga1 0.000 0.177 0.500 1
Ga2 0.000 0.300 0.000 1
Ge1 0.000 0.410 0.500 1